First-principles (meta-GGA SCAN) data for a PBEsol-optimized structure of Zr2Ta, as listed in Alexandria.

Cell lengths 4.8964, 4.8964, 5.9685 Å; angles 90.00, 90.00, 120.00 degrees
Closest atoms and distances in Å follow each position.
Atoms (fractional coordinates):
Ta 0.6667 0.3333 0.7500  5 Zr 2.83-2.98
Zr 0.3333 0.6667 0.7500  5 Ta 2.83-2.98
Zr 0.0000 0.0000 0.0000  8 Zr 2.98-3.20, 6 Ta 3.20
Ta 0.3333 0.6667 0.2500  5 Zr 2.83-2.98
Zr 0.6667 0.3333 0.2500  5 Ta 2.83-2.98
Zr 0.0000 0.0000 0.5000  8 Zr 2.98-3.20, 6 Ta 3.20

Computed properties:
Symmetry: No. 194
E_form (eV/atom): 0.18

=====

First-principles (meta-GGA SCAN) data for a PBEsol-optimized structure of BaPO3, as listed in Alexandria.

Cell lengths 3.8930, 3.8930, 3.8930 Å; angles 90.00, 90.00, 90.00 degrees
Closest atoms and distances in Å follow each position.
Atoms (fractional coordinates):
P 0.5000 0.5000 0.5000  6 O 1.95
O 0.5000 0.0000 0.5000  2 P 1.95
Ba 0.0000 0.0000 0.0000  12 O 2.75
O 0.5000 0.5000 0.0000  2 P 1.95
O 0.0000 0.5000 0.5000  2 P 1.95

Computed properties:
Formation energy from raw total energies (eV/f.u.): -9.93
Symmetry: No. 221

=====

First-principles (meta-GGA SCAN) data for a PBEsol-optimized structure of TlCr2Os, as listed in Alexandria.

Cell lengths 2.8495, 2.8495, 8.5878 Å; angles 80.45, 80.45, 60.00 degrees
Closest atoms and distances in Å follow each position.
Atoms (fractional coordinates):
Cr 0.7443 0.7443 0.7672  3 Cr 2.29, 3 Os 2.56
Os 0.4884 0.4884 0.5349  3 Cr 2.56, 6 Os 2.85
Tl 0.2529 0.2529 0.2414  6 Tl 2.85, 3 Cr 2.91, 3 Os 2.97
Cr 0.0145 0.0145 0.9565  3 Cr 2.29

Computed properties:
Symmetry: No. 160
E_form (eV/atom): 0.70

=====

First-principles (meta-GGA SCAN) data for a PBEsol-optimized structure of CoIBr2, as listed in Alexandria.

Cell lengths 6.8397, 6.8397, 6.8397 Å; angles 95.89, 116.66, 116.66 degrees
Closest atoms and distances in Å follow each position.
Atoms (fractional coordinates):
Co 0.0000 0.5000 0.5000  4 Br 2.32
Br 0.3785 0.8750 0.7535  2 Co 2.32
I 0.5000 0.7500 0.2500  4 Br 3.41
Br 0.8785 0.5035 0.1250  2 Co 2.32
I 0.0000 0.0000 0.0000  4 Br 3.41
Br 0.1215 0.2465 0.6250  2 Co 2.32
Br 0.6215 0.3750 0.4965  2 Co 2.32
Co 0.5000 0.2500 0.7500  4 Br 2.32

Computed properties:
Formation energy from raw total energies (eV/f.u.): -0.11
Symmetry: No. 122